Entry 1:
La2TaZn: optimized geometry, PBE.

## Properties
Formation enthalpy at 0 K (eV/f.u.): 2.95
Spin magnetization (Bohr magnetons per cell): 0.00
Symmetry: I-42d
E_tot (eV per cell): -40.05

abc: 4.327 4.327 11.198
angles: 78.86 78.86 90.00
Positions (direct):
La (0.632, 0.125, 0.250)
La (0.118, 0.625, 0.250)
La (0.375, 0.368, 0.750)
La (0.875, 0.882, 0.750)
Ta (0.750, 0.250, 0.500)
Ta (0.000, 0.000, 0.000)
Zn (0.250, 0.750, 0.500)
Zn (0.500, 0.500, 0.000)

Entry 2:
KCuReOs2: optimized geometry, PBE.

## Properties
Formation enthalpy at 0 K (eV/f.u.): 12.88
Spin magnetization (Bohr magnetons per cell): 2.96
Symmetry: P4/mmm
E_tot (eV per cell): -27.22

abc: 4.584 4.630 4.584
angles: 90.00 90.00 90.00
Positions (direct):
Os (0.500, 0.000, 0.000)
Os (0.000, 0.000, 0.500)
Cu (0.000, 0.000, 0.000)
K (0.000, 0.500, 0.000)
Re (0.500, 0.500, 0.500)

Entry 3:
Zr3SCl: optimized geometry, PBE.

## Properties
Spin magnetization (Bohr magnetons per cell): 0.00
Uncorrected formation energy (eV per atom): -0.117
Symmetry: Pm-3m
E_tot (eV per cell): -32.20

abc: 4.885 4.885 4.885
angles: 90.00 90.00 90.00
Positions (direct):
Zr (0.500, 0.000, 0.000)
Zr (0.000, 0.500, 0.000)
Zr (0.000, 0.000, 0.500)
S (0.000, 0.000, 0.000)
Cl (0.500, 0.500, 0.500)

Entry 4:
MgTiCo2Rh: optimized geometry, PBE.

## Properties
Formation enthalpy at 0 K (eV/f.u.): 4.91
Spin magnetization (Bohr magnetons per cell): 1.09
Symmetry: P4/mmm
E_tot (eV per cell): -26.15

abc: 4.239 4.239 4.416
angles: 90.00 90.00 90.00
Positions (direct):
Co (0.500, 0.000, 0.000)
Co (0.000, 0.500, 0.000)
Rh (0.000, 0.000, 0.500)
Mg (0.000, 0.000, 0.000)
Ti (0.500, 0.500, 0.500)

Entry 5:
KCr2Tc: optimized geometry, PBE.

## Properties
Formation enthalpy at 0 K (eV/f.u.): 6.06
Spin magnetization (Bohr magnetons per cell): 2.70
Symmetry: C2/m
E_tot (eV per cell): -24.65

abc: 5.750 5.426 2.540
angles: 79.35 84.66 120.53
Positions (direct):
Tc (0.500, 0.500, 0.000)
K (0.000, 0.500, 0.500)
Cr (0.000, 0.000, 0.000)
Cr (0.500, 0.000, 0.500)

Entry 6:
TbZn9Rh2: optimized geometry, PBE.

## Properties
Formation enthalpy at 0 K (eV/f.u.): -3.13
Spin magnetization (Bohr magnetons per cell): 0.00
Symmetry: P6/mmm
E_tot (eV per cell): -33.93

abc: 3.025 8.639 8.639
angles: 120.00 90.00 90.00
Positions (direct):
Rh (0.000, 0.667, 0.333)
Rh (0.000, 0.333, 0.667)
Zn (0.500, 0.814, 0.186)
Zn (0.500, 0.186, 0.372)
Zn (0.000, 0.500, 0.000)
Zn (0.000, 0.000, 0.500)
Zn (0.500, 0.372, 0.186)
Zn (0.500, 0.628, 0.814)
Zn (0.500, 0.186, 0.814)
Zn (0.500, 0.814, 0.628)
Zn (0.000, 0.500, 0.500)
Tb (0.000, 0.000, 0.000)